# CsCuAg3

A crystal of CsCuAg3 relaxed with PBEsol (meta-GGA SCAN, Alexandria via LeMat-Bulk).

a = 5.011 Å, b = 5.011 Å, c = 5.011 Å
α = 90.00°, β = 90.00°, γ = 90.00°
Space group Pm-3m (No. 221)
Asymmetric unit:
Cs 0.000 0.000 0.000 [1 per cell]
Cu 0.500 0.500 0.500 [1 per cell]
Ag 0.000 0.500 0.500 [3 per cell]

Total energy in eV per atom: -29.0416
Fermi-level density of states in states/eV/cell: 1.613

***

# BaSn2Bi

A crystal of BaSn2Bi relaxed with PBEsol (meta-GGA SCAN, Alexandria via LeMat-Bulk).

a = 12.522 Å, b = 7.188 Å, c = 11.853 Å
α = 90.00°, β = 110.13°, γ = 90.00°
Space group Cm (No. 8)
Asymmetric unit:
Ba 0.000 0.000 0.000 [2 per cell]
Ba 0.072 0.500 0.725 [2 per cell]
Ba 0.155 0.000 0.468 [2 per cell]
Ba 0.420 0.000 0.257 [2 per cell]
Sn 0.178 0.292 0.231 [4 per cell]
Sn 0.189 0.500 0.484 [2 per cell]
Sn 0.251 0.231 0.985 [4 per cell]
Sn 0.382 0.500 0.229 [2 per cell]
Sn 0.398 0.292 0.485 [4 per cell]
Bi 0.081 0.000 0.736 [2 per cell]
Bi 0.325 0.252 0.734 [4 per cell]
Bi 0.485 0.000 0.988 [2 per cell]

Total energy in eV per atom: -48.0004
Fermi-level density of states in states/eV/cell: 14.517

***

# BaNaW3

A crystal of BaNaW3 relaxed with PBEsol (meta-GGA SCAN, Alexandria via LeMat-Bulk).

a = 4.817 Å, b = 4.817 Å, c = 4.817 Å
α = 90.00°, β = 90.00°, γ = 90.00°
Space group Pm-3m (No. 221)
Asymmetric unit:
Ba 0.000 0.000 0.000 [1 per cell]
Na 0.500 0.500 0.500 [1 per cell]
W 0.000 0.500 0.500 [3 per cell]

Total energy in eV per atom: -47.2785
Fermi-level density of states in states/eV/cell: 6.170

***

# TaTc2Pt

A crystal of TaTc2Pt relaxed with PBEsol (meta-GGA SCAN, Alexandria via LeMat-Bulk).

a = 2.713 Å, b = 2.713 Å, c = 8.222 Å
α = 90.00°, β = 90.00°, γ = 90.00°
Space group P4/mmm (No. 123)
Asymmetric unit:
Ta 0.000 0.000 0.000 [1 per cell]
Tc 0.500 0.500 0.261 [2 per cell]
Pt 0.000 0.000 0.500 [1 per cell]

Total energy in eV per atom: -51.7992
Fermi-level density of states in states/eV/cell: 4.199

***

# Ir2OsRu

A crystal of Ir2OsRu relaxed with PBEsol (meta-GGA SCAN, Alexandria via LeMat-Bulk).

a = 2.687 Å, b = 3.825 Å, c = 5.381 Å
α = 90.00°, β = 90.00°, γ = 90.00°
Space group Pmmm (No. 47)
Asymmetric unit:
Ir 0.000 0.000 0.249 [2 per cell]
Os 0.500 0.500 0.500 [1 per cell]
Ru 0.500 0.500 0.000 [1 per cell]

Total energy in eV per atom: -62.2370
Fermi-level density of states in states/eV/cell: 3.479

***

# SrCrAsBr2

A crystal of SrCrAsBr2 relaxed with PBEsol (meta-GGA SCAN, Alexandria via LeMat-Bulk).

a = 5.674 Å, b = 5.674 Å, c = 6.032 Å
α = 90.00°, β = 90.00°, γ = 90.00°
Space group P4/mmm (No. 123)
Asymmetric unit:
Sr 0.000 0.000 0.000 [1 per cell]
Cr 0.500 0.500 0.500 [1 per cell]
As 0.000 0.000 0.500 [1 per cell]
Br 0.000 0.500 0.000 [2 per cell]

Raw formation energy in eV/atom: -0.16
Fermi-level density of states in states/eV/cell: 5.272

***

# Mg2AlV3S8

A crystal of Mg2AlV3S8 relaxed with PBEsol (meta-GGA SCAN, Alexandria via LeMat-Bulk).

a = 7.1105 Å, b = 7.1105 Å, c = 17.8078 Å
α = 90.00°, β = 90.00°, γ = 120.00°
Space group R-3m (No. 166, hexagonal axes)
Asymmetric unit:
Mg 0.0000 0.0000 0.1254 [6 per cell]
Al 0.0000 0.0000 0.5000 [3 per cell]
V 0.0000 0.5000 0.0000 [9 per cell]
S 0.0000 0.0000 0.2619 [6 per cell]
S 0.0327 0.5163 0.2531 [18 per cell]

Raw formation energy in eV/atom: -1.31

***

# K2LaMn

A crystal of K2LaMn relaxed with PBEsol (meta-GGA SCAN, Alexandria via LeMat-Bulk).

a = 3.5688 Å, b = 3.5688 Å, c = 37.1930 Å
α = 90.00°, β = 90.00°, γ = 120.00°
Space group R-3m (No. 166, hexagonal axes)
Asymmetric unit:
K 0.0000 0.0000 0.2409 [6 per cell]
La 0.0000 0.0000 0.0000 [3 per cell]
Mn 0.0000 0.0000 0.5000 [3 per cell]

Total energy in eV per atom: -18.8575
Fermi-level density of states in states/eV/cell: 11.852

***

# BaZnHg2

A crystal of BaZnHg2 relaxed with PBEsol (meta-GGA SCAN, Alexandria via LeMat-Bulk).

a = 4.607 Å, b = 5.585 Å, c = 8.381 Å
α = 90.00°, β = 90.00°, γ = 90.00°
Space group Imm2 (No. 44)
Asymmetric unit:
Ba 0.000 0.000 0.000 [2 per cell]
Zn 0.000 0.500 0.786 [2 per cell]
Hg 0.000 0.000 0.460 [2 per cell]
Hg 0.000 0.500 0.215 [2 per cell]

Total energy in eV per atom: -47.6628
Fermi-level density of states in states/eV/cell: 4.164

***

# Rb2CaW

A crystal of Rb2CaW relaxed with PBEsol (meta-GGA SCAN, Alexandria via LeMat-Bulk).

a = 8.717 Å, b = 8.717 Å, c = 8.717 Å
α = 90.00°, β = 90.00°, γ = 90.00°
Space group Fm-3m (No. 225)
Asymmetric unit:
Rb 0.250 0.250 0.250 [8 per cell]
Ca 0.000 0.000 0.000 [4 per cell]
W 0.000 0.000 0.500 [4 per cell]

Total energy in eV per atom: -28.4392
Fermi-level density of states in states/eV/cell: 16.026

***

# AlZnFe2

A crystal of AlZnFe2 relaxed with PBEsol (meta-GGA SCAN, Alexandria via LeMat-Bulk).

a = 2.879 Å, b = 2.879 Å, c = 5.880 Å
α = 90.00°, β = 90.00°, γ = 90.00°
Space group P4mm (No. 99)
Asymmetric unit:
Al 0.000 0.000 0.000 [1 per cell]
Zn 0.500 0.500 0.701 [1 per cell]
Fe 0.000 0.000 0.452 [1 per cell]
Fe 0.500 0.500 0.240 [1 per cell]

Total energy in eV per atom: -14.5054
Fermi-level density of states in states/eV/cell: 2.367